No. 1
Density functional theory data (PBE) for a relaxed structure of TaVRu.

a = 4.3945 Å, b = 5.1905 Å, c = 5.3547 Å
α = 120.71°, β = 90.00°, γ = 64.96°
Fractional coordinates of all 6 atoms:
Ru: 0.9549 0.2307 0.3262
Ru: 0.3007 0.5392 0.8137
V: 0.6216 0.8974 0.3246
V: 0.6340 0.8725 0.8153
Ta: 0.9607 0.2191 0.8229
Ta: 0.2948 0.5508 0.3170

## Properties
**M_tot**: 0.00 μB/f.u.
**Calculated formation energy**: -0.69 eV per formula unit
**Final energy**: -61.87 eV/cell
**Calculated volume**: 91.4 Å³ per cell



No. 2
Density functional theory data (PBE) for a relaxed structure of ErZnInHg.

a = 5.0116 Å, b = 5.0116 Å, c = 5.0116 Å
α = 60.00°, β = 60.00°, γ = 60.00°
Fractional coordinates of all 4 atoms:
Zn: 0.7500 0.7500 0.7500
Er: 0.5000 0.5000 0.5000
In: 0.0000 0.0000 0.0000
Hg: 0.2500 0.2500 0.2500

## Properties
**M_tot**: 0.00 μB/f.u.
**Calculated formation energy**: -1.10 eV per formula unit
**Final energy**: -9.97 eV/cell
**Calculated volume**: 89.0 Å³ per cell